{"formula": "Li3BiMo", "functional": "PBE", "state": "optimized geometry", "cell": [[4.987, 0.000, 0.000], [0.000, 4.987, 0.000], [0.000, 0.000, 4.987]], "species": ["Li", "Li", "Mo", "Li", "Bi"], "fractional_positions": [[0.000, 0.000, 0.500], [0.500, 0.000, 0.000], [0.000, 0.000, 0.000], [0.000, 0.500, 0.000], [0.500, 0.500, 0.500]], "e_tot_ev_per_atom": -3.078, "e_above_lowest_polymorph_mev_per_atom": 0, "spacegroup": "Pm-3m (221)", "n_ef_per_ev_cell": 3.51, "formation_energy_mev_per_atom": 1013}

{"formula": "LiBi2Mo", "functional": "PBE", "state": "optimized geometry", "cell": [[0.000, 3.546, 3.546], [3.546, 0.000, 3.546], [3.546, 3.546, 0.000]], "species": ["Mo", "Bi", "Li", "Bi"], "fractional_positions": [[0.500, 0.500, 0.500], [0.250, 0.250, 0.250], [0.000, 0.000, 0.000], [0.750, 0.750, 0.750]], "e_tot_ev_per_atom": -4.839, "e_above_lowest_polymorph_mev_per_atom": 0, "spacegroup": "Fm-3m (225)", "n_ef_per_ev_cell": 2.48, "formation_energy_mev_per_atom": 287}